DFT (PBE-GGA) results for a relaxed structure of NaSrZnB2.

abc: 4.3012 4.8032 4.3012
angles: 90.00 90.00 90.00
Fractional positions:
Sr: 0.5000 0.5000 0.5000
Zn: 0.0000 0.0000 0.0000
B: 0.0000 0.0000 0.5000
B: 0.5000 0.0000 0.0000
Na: 0.0000 0.5000 0.0000

## Properties
Calculated formation energy in eV per atom: 0.941
Density in g cm⁻³: 3.7
Symmetry: P4/mmm
Electronic total energy in eV per cell: -12.926
DOS(E_F) in states/eV/cell: 3.20
V in Å³/cell: 89